Run w
NaBiSb | PBE | relaxed

Geometry as POSCAR:
```
NaBiSb
1.0
-1.6476 1.6476 8.7762
1.6476 -1.6476 8.7762
1.6476 1.6476 -8.7762
Na Bi Sb
1 1 1
direct
0.0000 0.0000 0.0000
0.3535 0.3535 0.0000
0.1789 0.1789 0.0000
```

=====

Run x
NaBiSb | PBE | relaxed

Geometry as POSCAR:
```
NaBiSb
1.0
2.1634 1.2490 6.4131
-2.1634 1.2490 6.4131
0.0000 -2.4981 6.4131
Na Bi Sb
1 1 1
direct
0.0000 0.0000 0.0000
0.7973 0.7973 0.7973
0.5534 0.5534 0.5534
```

=====

Run y
NaBiSb | PBE | relaxed

Geometry as POSCAR:
```
NaBiSb
1.0
0.0000 3.7391 3.7391
3.7391 0.0000 3.7391
3.7391 3.7391 0.0000
Na Bi Sb
1 1 1
direct
0.0000 0.0000 0.0000
0.5000 0.5000 0.5000
0.2500 0.2500 0.2500
```

=====

Run z
NaBiSb | PBE | relaxed

Geometry as POSCAR:
```
NaBiSb
1.0
6.1470 0.0000 0.0000
0.0000 4.3655 0.0000
-1.0525 0.0000 7.9306
Na Bi Sb
2 2 2
direct
0.2379 0.2500 0.3448
0.7621 0.7500 0.6552
0.2061 0.7500 0.9528
0.7939 0.2500 0.0472
0.3704 0.2500 0.7467
0.6296 0.7500 0.2533
```

=====

Most stable: run z

=====

Run w
Na6BiSb2 | PBE | relaxed

Geometry as POSCAR:
```
Na6BiSb2
1.0
8.5426 0.0000 0.0000
0.0000 7.7932 0.0000
-6.5856 0.0000 8.6452
Na Bi Sb
12 2 4
direct
0.0094 0.1461 0.3170
0.0094 0.3539 0.8170
0.2969 0.6742 0.0669
0.2969 0.8258 0.5669
0.4101 0.1218 0.0651
0.4101 0.3782 0.5651
0.5899 0.6218 0.4349
0.5899 0.8782 0.9349
0.7031 0.1742 0.4331
0.7031 0.3258 0.9331
0.9906 0.6461 0.1830
0.9906 0.8539 0.6830
0.0000 0.0000 0.0000
0.0000 0.5000 0.5000
0.2558 0.1649 0.7182
0.2558 0.3351 0.2182
0.7442 0.6649 0.7818
0.7442 0.8351 0.2818
```

=====

Run x
Na6BiSb2 | PBE | relaxed

Geometry as POSCAR:
```
Na6BiSb2
1.0
9.1700 0.0000 0.0000
-4.5850 7.9414 0.0000
0.0000 0.0000 3.5668
Na Bi Sb
6 1 2
direct
0.0000 0.3383 0.2204
0.0000 0.6617 0.7796
0.3383 0.0000 0.2204
0.3383 0.3383 0.7796
0.6617 0.0000 0.7796
0.6617 0.6617 0.2204
0.0000 0.0000 0.0000
0.3333 0.6667 0.5000
0.6667 0.3333 0.5000
```

=====

Most stable: run x

=====

Run w
Na6Bi2Sb | PBE | relaxed

Geometry as POSCAR:
```
Na6Bi2Sb
1.0
9.0815 0.0000 0.0000
-4.5407 7.8648 0.0000
0.0000 0.0000 3.4957
Na Bi Sb
6 2 1
direct
0.0000 0.3299 0.0000
0.0000 0.6701 0.0000
0.3299 0.0000 0.0000
0.3299 0.3299 0.0000
0.6701 0.0000 0.0000
0.6701 0.6701 0.0000
0.3333 0.6667 0.5000
0.6667 0.3333 0.5000
0.0000 0.0000 0.5000
```

=====

Run x
Na6Bi2Sb | PBE | relaxed

Geometry as POSCAR:
```
Na6Bi2Sb
1.0
7.9838 0.0000 0.0000
0.0000 8.1683 0.0000
-7.0887 0.0000 9.3302
Na Bi Sb
12 4 2
direct
0.0324 0.0165 0.2349
0.0324 0.4835 0.7349
0.1954 0.6678 0.0533
0.1954 0.8322 0.5533
0.4412 0.1475 0.0787
0.4412 0.3525 0.5787
0.5588 0.6475 0.4213
0.5588 0.8525 0.9213
0.8046 0.1678 0.4467
0.8046 0.3322 0.9467
0.9676 0.5165 0.2651
0.9676 0.9835 0.7651
0.3040 0.1831 0.7508
0.3040 0.3169 0.2508
0.6960 0.6831 0.7492
0.6960 0.8169 0.2492
0.5000 0.0000 0.5000
0.5000 0.5000 0.0000
```

=====

Most stable: run w

=====

Run w
NaSrBiSb | PBE | relaxed

Geometry as POSCAR:
```
NaSrBiSb
1.0
0.0000 3.9945 3.9945
3.9945 0.0000 3.9945
3.9945 3.9945 0.0000
Na Sr Bi Sb
1 1 1 1
direct
0.0000 0.0000 0.0000
0.5000 0.5000 0.5000
0.2500 0.2500 0.2500
0.7500 0.7500 0.7500
```

=====

Run x
NaSrBiSb | PBE | relaxed

Geometry as POSCAR:
```
NaSrBiSb
1.0
4.7564 0.0000 0.0000
0.0000 5.0274 0.0000
0.0000 0.0000 5.1636
Na Sr Bi Sb
1 1 1 1
direct
0.0000 0.0000 0.0000
0.0000 0.5000 0.5000
0.5000 0.5000 0.0000
0.5000 0.0000 0.5000
```

=====

Most stable: run x

=====

Run w
Na3ScBi | PBE | relaxed

Geometry as POSCAR:
```
Na3ScBi
1.0
5.9180 0.0000 0.0000
0.0000 5.9180 0.0000
0.0000 0.0000 5.9180
Na Sc Bi
3 1 1
direct
0.0000 0.0000 0.5000
0.0000 0.5000 0.0000
0.5000 0.0000 0.0000
0.5000 0.5000 0.5000
0.0000 0.0000 0.0000
```

=====

Run x
Na3ScBi | PBE | relaxed

Geometry as POSCAR:
```
Na3ScBi
1.0
5.8246 0.0000 0.0000
0.0000 5.8246 0.0000
0.0000 0.0000 5.8246
Na Sc Bi
3 1 1
direct
0.0000 0.0000 0.5000
0.0000 0.5000 0.0000
0.5000 0.0000 0.0000
0.0000 0.0000 0.0000
0.5000 0.5000 0.5000
```

=====

Most stable: run w

=====

Run w
NaScBi2 | PBE | relaxed

Geometry as POSCAR:
```
NaScBi2
1.0
3.5460 0.0000 0.0000
0.0000 3.5460 0.0000
0.0000 0.0000 8.8696
Na Sc Bi
1 1 2
direct
0.0000 0.0000 0.0000
0.0000 0.0000 0.5000
0.5000 0.5000 0.2712
0.5000 0.5000 0.7288
```

=====

Run x
NaScBi2 | PBE | relaxed

Geometry as POSCAR:
```
NaScBi2
1.0
-2.8995 2.8995 9.3342
2.8995 -2.8995 9.3342
2.8995 2.8995 -9.3342
Na Sc Bi
2 2 4
direct
0.0000 0.0000 0.0000
0.7500 0.2500 0.5000
0.2500 0.7500 0.5000
0.5000 0.5000 0.0000
0.2331 0.6250 0.1081
0.3750 0.4831 0.6081
0.5169 0.1250 0.8919
0.8750 0.7669 0.3919
```

=====

Most stable: run w